Entry from Alexandria: a relaxed structure of LaSm5Ru3 (PBE-GGA).

Output
energy of formation from the pure elements	-0.1824	eV per atom
VASP energy	-6.44	eV per atom
space-group type	C2/m, No. 12

Cell: 7.8050 7.8050 10.1921 Å, 108.28 108.28 72.84°
Sites, in units of the cell vectors:
La 0.1019 0.1019 0.2998
La 0.8981 0.8981 0.7002
Sm 0.0326 0.6341 0.3310
Sm 0.2339 0.2339 0.0337
Sm 0.3025 0.6975 0.0000
Sm 0.3659 0.9674 0.6690
Sm 0.4349 0.4349 0.6338
Sm 0.5651 0.5651 0.3662
Sm 0.6341 0.0326 0.3310
Sm 0.6975 0.3025 0.0000
Sm 0.7661 0.7661 0.9663
Sm 0.9674 0.3659 0.6690
Ru 0.0000 0.0000 0.0000
Ru 0.0000 0.0000 0.5000
Ru 0.3298 0.3298 0.3343
Ru 0.3332 0.3332 0.8324
Ru 0.6668 0.6668 0.1676
Ru 0.6702 0.6702 0.6657